This record from Alexandria via LeMat-Bulk describes a geometry-optimized CaLa2TeRu structure. The functional is PBE-GGA.

abc: 5.3306 5.3306 5.7015
angles: 90.00 90.00 90.00
Closest atoms and distances in Å follow each position.
Fractional coordinates of all 5 atoms:
Ca  0.0000  0.0000  0.0000  2 Ru 2.85
La  0.0000  0.5000  0.5000  2 Ru 2.67
La  0.5000  0.0000  0.5000  2 Ru 2.67
Te  0.5000  0.5000  0.0000  4 Ca 3.77, 8 La 3.90
Ru  0.0000  0.0000  0.5000  4 La 2.67, 2 Ca 2.85

Summary:
Its uncorrected formation energy is -579.8 meV per atom. The value obtained for the magnetic moment is 0.00 μB per cell.

***

This record from Alexandria via LeMat-Bulk describes a geometry-optimized PrCl3 structure. The functional is PBE-GGA.

abc: 7.5581 7.5581 4.3084
angles: 90.00 90.00 120.00
Closest atoms and distances in Å follow each position.
Fractional coordinates of all 8 atoms:
Pr  0.3333  0.6667  0.2500  9 Cl 2.93-2.98
Pr  0.6667  0.3333  0.7500  9 Cl 2.93-2.98
Cl  0.0867  0.3911  0.7500  3 Pr 2.93-2.98
Cl  0.3044  0.9133  0.7500  3 Pr 2.93-2.98
Cl  0.3911  0.3044  0.2500  3 Pr 2.93-2.98
Cl  0.6089  0.6956  0.7500  3 Pr 2.93-2.98
Cl  0.6956  0.0867  0.2500  3 Pr 2.93-2.98
Cl  0.9133  0.6089  0.2500  3 Pr 2.93-2.98

Summary:
Its uncorrected formation energy is -2298.5 meV per atom. The value obtained for the magnetic moment is 0.00 μB per cell.

***

This record from Alexandria via LeMat-Bulk describes a geometry-optimized AgPdN structure. The functional is PBE-GGA.

abc: 2.9280 5.0153 7.3264
angles: 75.22 80.28 77.88
Closest atoms and distances in Å follow each position.
Fractional coordinates of all 6 atoms:
Ag  0.0000  0.0000  0.0000  3 Pd 2.81-2.91, 5 Ag 2.86-3.07
Ag  0.3238  0.5136  0.8136  4 Pd 2.75-2.89, 5 Ag 2.86-3.07
Pd  0.6532  0.4972  0.1468  1 N 2.15
Pd  0.9300  0.6229  0.4604  2 N 1.97-2.01
N  0.8793  0.2530  0.4133  1 N 1.16
N  0.9093  0.0137  0.4729  1 N 1.16

Summary:
Its uncorrected formation energy is 280.4 meV per atom. The value obtained for the magnetic moment is 0.00 μB per cell. The relative energy among the computed polymorphs comes out at 0.05 eV/f.u.

***

This record from Alexandria via LeMat-Bulk describes a geometry-optimized Tb5SnPt2 structure. The functional is PBE-GGA.

abc: 8.7504 8.7504 8.7504
angles: 126.59 126.59 78.91
Closest atoms and distances in Å follow each position.
Fractional coordinates of all 16 atoms:
Tb  0.0000  0.0000  0.0000  4 Pt 3.06, 2 Sn 3.38
Tb  0.0208  0.5208  0.8185  3 Pt 2.95-2.99
Tb  0.2023  0.0208  0.5000  3 Pt 2.95-2.99
Tb  0.2977  0.7977  0.8185  3 Pt 2.95-2.99
Tb  0.4792  0.2977  0.5000  3 Pt 2.95-2.99
Tb  0.5000  0.5000  0.0000  4 Pt 3.06, 2 Sn 3.38
Tb  0.5208  0.7023  0.5000  3 Pt 2.95-2.99
Tb  0.7023  0.2023  0.1815  3 Pt 2.95-2.99
Tb  0.7977  0.9792  0.5000  3 Pt 2.95-2.99
Tb  0.9792  0.4792  0.1815  3 Pt 2.95-2.99
Sn  0.2500  0.2500  0.0000  10 Tb 3.32-3.38
Sn  0.7500  0.7500  0.0000  10 Tb 3.32-3.38
Pt  0.1360  0.3640  0.5000  8 Tb 2.95-3.06, 1 Pt 3.02
Pt  0.3640  0.8640  0.2280  8 Tb 2.95-3.06, 1 Pt 3.02
Pt  0.6360  0.1360  0.7720  8 Tb 2.95-3.06, 1 Pt 3.02
Pt  0.8640  0.6360  0.5000  8 Tb 2.95-3.06, 1 Pt 3.02

Summary:
The value obtained for the magnetic moment is 0.00 μB per cell. The energy of formation from the pure elements comes out at -0.910 eV/atom.

***

This record from Alexandria via LeMat-Bulk describes a geometry-optimized EuScAu structure. The functional is PBE-GGA.

abc: 4.7850 4.7850 4.0735
angles: 90.00 90.00 120.00
Closest atoms and distances in Å follow each position.
Fractional coordinates of all 3 atoms:
Eu  0.0000  0.0000  0.0000  6 Au 3.43-3.44, 6 Sc 3.43
Sc  0.6667  0.3333  0.4997  3 Au 2.76
Au  0.3333  0.6667  0.5014  3 Sc 2.76

Summary:
The value obtained for the magnetic moment is 7.35 μB per cell. The energy of formation from the pure elements comes out at -0.384 eV/atom. The relative energy among the computed polymorphs comes out at 0.30 eV/f.u.

***

This record from Alexandria via LeMat-Bulk describes a geometry-optimized YMgAg4 structure. The functional is PBE-GGA.

abc: 4.7269 4.7269 6.5078
angles: 90.00 90.00 120.00
Closest atoms and distances in Å follow each position.
Fractional coordinates of all 6 atoms:
Y  0.0000  0.0000  0.0000  12 Ag 3.24, 2 Mg 3.25
Mg  0.0000  0.0000  0.5000  12 Ag 3.12, 2 Y 3.25
Ag  0.3333  0.6667  0.2692  4 Ag 2.73-3.00
Ag  0.3333  0.6667  0.7308  4 Ag 2.73-3.00
Ag  0.6667  0.3333  0.2692  4 Ag 2.73-3.00
Ag  0.6667  0.3333  0.7308  4 Ag 2.73-3.00

Summary:
The value obtained for the magnetic moment is 0.00 μB per cell. The energy of formation from the pure elements comes out at -0.178 eV/atom. The relative energy among the computed polymorphs comes out at 0.22 eV/f.u.

***

no.,VASP energy (Ha/atom)
1,-0.1997
2,-0.1793
3,-0.1902
4,-0.2137
5,-0.2577
6,-0.1257